Compound: SbPb2Se
Source: Alexandria
Functional: PBE
Structure: relaxed

a = 4.3793 Å, b = 4.3793 Å, c = 6.6670 Å
α = 90.00°, β = 90.00°, γ = 90.00°
Sites, in units of the cell vectors:
Sb  0.0000  0.0000  0.0000
Pb  0.0000  0.0000  0.4769
Pb  0.5000  0.5000  0.9224
Se  0.5000  0.5000  0.4928

Output
Magnetic moment   0.00 Bohr magnetons per cell
Polymorph energy (0 for the lowest one)   0.000 eV/atom
Uncorrected energy   -3.9650 eV per atom
Uncorrected formation energy   -0.2091 eV per atom